No. 1
Tb4Nd5In PBE optimized geometry; ρ = 7.496 g/cm3; energy of formation from the pure elements = -4.9 meV per atom; polymorph energy (0 for the lowest one) = 0.000 eV per atom
1.0
-2.263 2.969 -1.960
0.438 -2.073 -3.646
-15.351 -9.393 3.496
Nd Tb In
5 4 1
direct
0.500 0.500 0.704
0.500 0.500 0.296
0.500 0.500 0.500
0.500 0.500 0.910
0.500 0.500 0.090
0.000 0.000 0.398
0.000 0.000 0.602
0.000 0.000 0.806
0.000 0.000 0.194
0.000 0.000 0.000


No. 2
Cd2TeRu PBE optimized geometry; ρ = 9.054 g/cm3; polymorph energy (0 for the lowest one) = 0.335 eV per atom; uncorrected formation energy = 0.380 eV per atom
1.0
-0.719 4.926 1.087
-4.205 -2.416 -1.563
-0.750 -0.842 3.321
Cd Ru Te
2 1 1
direct
0.500 0.500 0.000
0.000 0.000 0.000
0.500 0.000 0.500
0.000 0.500 0.500


No. 3
CeAs12Rh4 PBE optimized geometry; ρ = 7.413 g/cm3; energy of formation from the pure elements = -493.3 meV per atom
1.0
-1.231 -0.043 -7.400
-1.076 -6.894 2.754
-4.750 4.779 3.298
As Rh Ce
12 4 1
direct
0.655 0.510 0.854
0.345 0.490 0.146
0.490 0.146 0.345
0.199 0.854 0.345
0.146 0.655 0.801
0.510 0.854 0.655
0.655 0.801 0.146
0.854 0.345 0.199
0.146 0.345 0.490
0.854 0.655 0.510
0.801 0.146 0.655
0.345 0.199 0.854
0.000 0.500 0.000
0.500 0.000 0.000
0.500 0.500 0.500
0.000 0.000 0.500
0.000 0.000 0.000


No. 4
DyAlGa2Ni2 PBE optimized geometry; ρ = 7.130 g/cm3; energy of formation from the pure elements = -255.7 meV per atom
1.0
-0.432 -1.376 -4.081
4.276 -0.628 -0.241
-0.660 -5.198 1.822
Ni Dy Ga Al
2 1 2 1
direct
0.000 0.500 0.000
0.500 0.000 0.000
0.000 0.000 0.500
0.500 0.500 0.742
0.500 0.500 0.258
0.000 0.000 0.000


No. 5
Tl2Ag4F9 PBE optimized geometry; ρ = 6.410 g/cm3; uncorrected formation energy = -1.358 eV per atom
1.0
6.156 0.000 0.012
3.077 5.332 0.032
-0.033 -0.077 15.958
Ag Tl F
8 4 18
direct
0.333 0.334 0.191
0.667 0.667 0.516
0.667 0.667 0.016
0.667 0.666 0.809
0.333 0.333 0.484
0.334 0.333 0.691
0.333 0.333 0.984
0.666 0.667 0.309
0.000 0.000 0.142
0.000 0.000 0.358
0.000 0.000 0.858
0.000 0.000 0.642
0.344 0.973 0.916
0.729 0.000 0.750
0.973 0.345 0.416
0.317 0.656 0.084
0.318 0.027 0.584
0.027 0.655 0.584
0.728 0.272 0.250
0.973 0.683 0.916
0.999 0.729 0.250
0.656 0.027 0.084
0.027 0.317 0.084
0.271 0.000 0.250
0.001 0.271 0.750
0.683 0.344 0.916
0.272 0.728 0.750
0.656 0.318 0.584
0.682 0.973 0.416
0.344 0.682 0.416


No. 6
Ti2AlIr3 PBE optimized geometry; ρ = 13.117 g/cm3; energy of formation from the pure elements = -856.0 meV per atom
1.0
-2.073 -3.876 -0.797
1.062 -4.287 5.565
-4.874 2.085 2.536
Ir Al Ti
6 2 4
direct
0.500 0.000 0.749
0.828 0.344 0.752
0.500 0.000 0.251
0.172 0.656 0.248
0.172 0.656 0.752
0.828 0.344 0.248
0.336 0.327 0.000
0.664 0.673 0.000
0.000 0.000 0.500
0.335 0.330 0.500
0.665 0.670 0.500
0.000 0.000 0.000


No. 7
La3Tb2Th PBE optimized geometry; ρ = 7.826 g/cm3; energy of formation from the pure elements = 85.4 meV per atom; polymorph energy (0 for the lowest one) = 0.045 eV per atom
1.0
5.338 -0.920 9.209
-0.762 -3.141 11.209
-0.808 -6.652 1.118
Tb La Th
4 6 2
direct
0.245 0.755 0.245
0.250 0.250 0.250
0.755 0.245 0.755
0.750 0.750 0.750
0.669 0.162 0.331
0.669 0.669 0.331
0.331 0.331 0.669
0.838 0.331 0.162
0.162 0.669 0.838
0.331 0.838 0.669
0.833 0.833 0.167
0.167 0.167 0.833


No. 8
GaI2N PBE optimized geometry; ρ = 5.084 g/cm3; polymorph energy (0 for the lowest one) = 0.454 eV per atom; uncorrected formation energy = 1.248 eV per atom
1.0
0.000 3.806 3.806
3.806 0.000 3.806
3.806 3.806 0.000
I N Ga
2 1 1
direct
0.750 0.750 0.750
0.250 0.250 0.250
0.000 0.000 0.000
0.500 0.500 0.500


No. 9
Na3Tm2PaTe6 PBE optimized geometry; ρ = 6.142 g/cm3; uncorrected formation energy = -1.118 eV per atom
1.0
7.578 -0.001 0.000
-3.788 6.563 0.000
-1.264 -2.188 7.629
Te Na Pa Tm
6 3 1 2
direct
0.078 0.416 0.233
0.261 0.261 0.767
0.584 0.922 0.767
0.922 0.584 0.767
0.739 0.739 0.233
0.416 0.078 0.233
0.166 0.834 0.500
0.500 0.500 0.500
0.834 0.166 0.500
0.000 0.000 0.000
0.667 0.333 0.000
0.333 0.667 0.000


No. 10
PmAl3Rh PBE optimized geometry; ρ = 5.241 g/cm3; energy of formation from the pure elements = -490.7 meV per atom; polymorph energy (0 for the lowest one) = 0.244 eV per atom
1.0
-2.137 -1.691 3.836
-1.456 -3.739 -2.458
3.932 -2.303 1.175
Al Pm Rh
3 1 1
direct
0.500 0.000 0.000
0.000 0.500 0.000
0.000 0.000 0.500
0.500 0.500 0.500
0.000 0.000 0.000


No. 11
Li2AcHo PBE optimized geometry; ρ = 5.715 g/cm3; energy of formation from the pure elements = 160.1 meV per atom; polymorph energy (0 for the lowest one) = 0.015 eV per atom
1.0
5.504 0.000 0.000
2.752 4.767 0.000
2.752 1.589 4.494
Ho Ac Li
1 1 2
direct
0.000 0.000 0.000
0.500 0.500 0.500
0.750 0.750 0.750
0.250 0.250 0.250


No. 12
TbCe2SmAs4 PBE optimized geometry; ρ = 7.069 g/cm3; energy of formation from the pure elements = -1483.8 meV per atom
1.0
4.196 0.000 0.000
0.000 7.260 -0.141
0.000 2.558 6.806
As Ce Tb Sm
4 2 1 1
direct
0.500 0.251 0.747
0.500 0.749 0.253
0.000 0.751 0.748
0.000 0.249 0.252
0.500 0.000 0.500
0.000 0.000 0.000
0.000 0.500 0.500
0.500 0.500 0.000


The lowest ρ belongs to which entry?
GaI2N